Record 1
Computed, not measured: a geometry-optimized Li2CdHgAs structure at the GGA-PBE level of DFT.

Its space-group type is P4/mmm, No. 123. Its total energy is -1.772 eV per atom. The calculation puts the size of the total moment at 0.00 μB/f.u. The formation energy comes out at 0.167 eV per atom.

Structure (extended XYZ):
```
5
Lattice="5.3768 0.0000 0.0000 0.0000 5.3768 0.0000 0.0000 0.0000 5.0065" Properties=species:S:1:pos:R:3 pbc="T T T"
Li 0.0000 2.6884 0.0000
Li 2.6884 0.0000 0.0000
Cd 0.0000 0.0000 0.0000
Hg 2.6884 2.6884 2.5033
As 0.0000 0.0000 2.5033
```

=====

Record 2
Computed, not measured: a geometry-optimized NaCdHgAs structure at the GGA-PBE level of DFT.

Its space-group type is F-43m, No. 216. Its total energy is -1.936 eV per atom. The calculation puts the size of the total moment at 0.00 μB/f.u. The formation energy comes out at -0.140 eV per atom.

Structure (extended XYZ):
```
4
Lattice="0.0000 3.5634 3.5634 3.5634 0.0000 3.5634 3.5634 3.5634 0.0000" Properties=species:S:1:pos:R:3 pbc="T T T"
Na 0.0000 0.0000 0.0000
Cd 3.5634 3.5634 3.5634
Hg 1.7817 1.7817 1.7817
As 5.3451 5.3451 5.3451
```

=====

Record 3
Computed, not measured: a geometry-optimized NbCd2HgAs structure at the GGA-PBE level of DFT.

Its space-group type is P4/mmm, No. 123. Its total energy is -2.764 eV per atom. The calculation puts the size of the total moment at 0.00 μB/f.u. The formation energy comes out at 0.606 eV per atom.

Structure (extended XYZ):
```
5
Lattice="5.1238 0.0000 0.0000 0.0000 5.1238 0.0000 0.0000 0.0000 4.9361" Properties=species:S:1:pos:R:3 pbc="T T T"
Nb 0.0000 0.0000 0.0000
Cd 0.0000 2.5619 2.4680
Cd 2.5619 0.0000 2.4680
Hg 2.5619 2.5619 0.0000
As 0.0000 0.0000 2.4680
```

=====

Record 4
Computed, not measured: a geometry-optimized NbCdHgAs2 structure at the GGA-PBE level of DFT.

Its space-group type is P4/mmm, No. 123. Its total energy is -2.895 eV per atom. The calculation puts the size of the total moment at 2.81 μB/f.u. The formation energy comes out at 1.222 eV per atom.

Structure (extended XYZ):
```
5
Lattice="5.0274 0.0000 0.0000 0.0000 5.0274 0.0000 0.0000 0.0000 5.5224" Properties=species:S:1:pos:R:3 pbc="T T T"
Nb 0.0000 0.0000 0.0000
Cd 0.0000 0.0000 2.7612
Hg 2.5137 2.5137 0.0000
As 0.0000 2.5137 2.7612
As 2.5137 0.0000 2.7612
```

=====

Record 5
Computed, not measured: a geometry-optimized CdNiHg2As structure at the GGA-PBE level of DFT.

Its space-group type is P4/mmm, No. 123. Its total energy is -1.532 eV per atom. The calculation puts the size of the total moment at 0.01 μB/f.u. The formation energy comes out at 0.858 eV per atom.

Structure (extended XYZ):
```
5
Lattice="5.2882 0.0000 0.0000 0.0000 5.2882 0.0000 0.0000 0.0000 5.3190" Properties=species:S:1:pos:R:3 pbc="T T T"
Cd 0.0000 0.0000 0.0000
Ni 2.6441 2.6441 0.0000
Hg 0.0000 2.6441 2.6595
Hg 2.6441 0.0000 2.6595
As 0.0000 0.0000 2.6595
```

=====

Record 6
Computed, not measured: a geometry-optimized Cd2NiHgAs structure at the GGA-PBE level of DFT.

Its space-group type is P4/mmm, No. 123. Its total energy is -2.466 eV per atom. The calculation puts the size of the total moment at 0.00 μB/f.u. The formation energy comes out at 0.047 eV per atom.

Structure (extended XYZ):
```
5
Lattice="5.1437 0.0000 0.0000 0.0000 5.1437 0.0000 0.0000 0.0000 4.3736" Properties=species:S:1:pos:R:3 pbc="T T T"
Cd 0.0000 2.5719 0.0000
Cd 2.5719 0.0000 0.0000
Ni 0.0000 0.0000 0.0000
Hg 2.5719 2.5719 2.1868
As 0.0000 0.0000 2.1868
```

=====

Record 7
Computed, not measured: a geometry-optimized CdHgAsO4 structure at the GGA-PBE level of DFT.

Its space-group type is Imma, No. 74. As for the formation energy from raw total energies: -6.005 eV/f.u. Its total energy is -4.529 eV per atom. The calculation puts the size of the total moment at 0.00 μB/f.u.

Structure (extended XYZ):
```
14
Lattice="-3.0029 3.5484 4.7441 3.0029 -3.5484 4.7441 3.0029 3.5484 -4.7441" Properties=species:S:1:pos:R:3 pbc="T T T"
Cd 0.0000 0.0000 0.0000
Cd 0.0000 3.5484 0.0000
Hg -1.5015 1.7742 2.3720
Hg 1.5015 1.7742 2.3720
As 3.0029 1.7742 -1.2573
As 0.0000 1.7742 6.0014
O 3.0029 -0.3371 2.2179
O 3.0029 3.2113 -2.2179
O 1.5759 1.7742 -0.2012
O 4.4299 1.7742 -0.2012
O -1.4270 1.7742 4.9453
O 1.4270 1.7742 4.9453
O 0.0000 0.3371 6.9620
O 0.0000 3.8856 2.5262
```

=====

Record 8
Computed, not measured: a geometry-optimized CdHgAs2O6 structure at the GGA-PBE level of DFT.

Its space-group type is C2/c, No. 15. As for the formation energy from raw total energies: -8.976 eV/f.u. Its total energy is -4.924 eV per atom. The calculation puts the size of the total moment at 0.00 μB/f.u.

Structure (extended XYZ):
```
20
Lattice="5.4871 -4.4266 0.0000 5.4871 4.4266 0.0000 -3.1920 0.0000 6.3354" Properties=species:S:1:pos:R:3 pbc="T T T"
Cd 3.0931 2.4284 4.7515
Cd 4.6891 -2.4284 1.5838
Hg 4.6891 1.1201 1.5838
Hg 3.0931 -1.1201 4.7515
As 0.0088 0.5367 4.3821
As 1.6048 -0.5367 1.2144
As 6.1773 0.5367 5.1210
As 7.7733 -0.5367 1.9533
O 2.9008 2.2846 2.3626
O 0.4286 0.1203 2.5179
O -1.1674 -0.1203 5.6856
O 1.5521 0.7879 5.2029
O 6.4773 2.2846 0.8051
O 3.1481 -0.7879 2.0353
O 4.6340 0.7879 4.3001
O 1.3048 -2.2846 5.5303
O 6.2300 -0.7879 1.1324
O 8.9495 0.1203 0.6497
O 7.3536 -0.1203 3.8174
O 4.8813 -2.2846 3.9727
```

=====

Record 9
Computed, not measured: a geometry-optimized CdHgAsPb structure at the GGA-PBE level of DFT.

Its space-group type is F-43m, No. 216. Its total energy is -2.285 eV per atom. The calculation puts the size of the total moment at 0.00 μB/f.u. The formation energy comes out at 0.109 eV per atom.

Structure (extended XYZ):
```
4
Lattice="0.0000 3.7069 3.7069 3.7069 0.0000 3.7069 3.7069 3.7069 0.0000" Properties=species:S:1:pos:R:3 pbc="T T T"
Cd 0.0000 0.0000 0.0000
Hg 5.5603 5.5603 5.5603
As 1.8534 1.8534 1.8534
Pb 3.7069 3.7069 3.7069
```

=====

Record 10
Computed, not measured: a geometry-optimized Cd2HgAs2Pd5 structure at the GGA-PBE level of DFT.

Its space-group type is P4/mbm, No. 127. Its total energy is -3.971 eV per atom. The calculation puts the size of the total moment at 0.00 μB/f.u. The formation energy comes out at -0.232 eV per atom.

Structure (extended XYZ):
```
20
Lattice="10.3819 0.0000 0.0000 0.0000 10.3819 0.0000 0.0000 0.0000 3.3547" Properties=species:S:1:pos:R:3 pbc="T T T"
Cd 1.8363 3.3547 0.0000
Cd 3.3547 8.5457 0.0000
Cd 7.0272 1.8363 0.0000
Cd 8.5457 7.0272 0.0000
Hg 0.0000 0.0000 0.0000
Hg 5.1910 5.1910 0.0000
As 1.4127 6.6037 0.0000
As 3.7783 1.4127 0.0000
As 6.6037 8.9692 0.0000
As 8.9692 3.7783 0.0000
Pd 0.0000 5.1910 1.6773
Pd 0.1857 8.1414 1.6773
Pd 2.2405 0.1857 1.6773
Pd 2.9505 5.3767 1.6773
Pd 5.0052 2.9505 1.6773
Pd 5.1910 0.0000 1.6773
Pd 5.3767 7.4315 1.6773
Pd 7.4315 5.0052 1.6773
Pd 8.1414 10.1962 1.6773
Pd 10.1962 2.2405 1.6773
```

=====

Record 11
Computed, not measured: a geometry-optimized CdHgAsSe2 structure at the GGA-PBE level of DFT.

Its space-group type is P4/mmm, No. 123. As for the formation energy from raw total energies: 3.418 eV/f.u. Its total energy is -1.884 eV per atom. The calculation puts the size of the total moment at 1.40 μB/f.u.

Structure (extended XYZ):
```
5
Lattice="5.2648 0.0000 0.0000 0.0000 5.2648 0.0000 0.0000 0.0000 5.3342" Properties=species:S:1:pos:R:3 pbc="T T T"
Cd 0.0000 0.0000 0.0000
Hg 2.6324 2.6324 2.6671
As 0.0000 0.0000 2.6671
Se 0.0000 2.6324 0.0000
Se 2.6324 0.0000 0.0000
```

=====

Record 12
Computed, not measured: a geometry-optimized CdHgAs2Se structure at the GGA-PBE level of DFT.

Its space-group type is P4/mmm, No. 123. As for the formation energy from raw total energies: 4.133 eV/f.u. Its total energy is -1.973 eV per atom. The calculation puts the size of the total moment at 1.47 μB/f.u.

Structure (extended XYZ):
```
5
Lattice="5.2520 0.0000 0.0000 0.0000 5.2520 0.0000 0.0000 0.0000 5.2636" Properties=species:S:1:pos:R:3 pbc="T T T"
Cd 0.0000 0.0000 0.0000
Hg 2.6260 2.6260 2.6318
As 0.0000 2.6260 0.0000
As 2.6260 0.0000 0.0000
Se 0.0000 0.0000 2.6318
```

=====

Record 13
Computed, not measured: a geometry-optimized Ta2CdHgAs structure at the GGA-PBE level of DFT.

Its space-group type is P4/mmm, No. 123. Its total energy is -4.104 eV per atom. The calculation puts the size of the total moment at 2.72 μB/f.u. The formation energy comes out at 1.811 eV per atom.

Structure (extended XYZ):
```
5
Lattice="5.1608 0.0000 0.0000 0.0000 5.1608 0.0000 0.0000 0.0000 5.0628" Properties=species:S:1:pos:R:3 pbc="T T T"
Ta 0.0000 2.5804 0.0000
Ta 2.5804 0.0000 0.0000
Cd 0.0000 0.0000 2.5314
Hg 0.0000 0.0000 0.0000
As 2.5804 2.5804 2.5314
```

=====

Record 14
Computed, not measured: a geometry-optimized TlCdHgAs structure at the GGA-PBE level of DFT.

Its space-group type is F-43m, No. 216. Its total energy is -1.958 eV per atom. The calculation puts the size of the total moment at 0.00 μB/f.u. The formation energy comes out at 0.100 eV per atom.

Structure (extended XYZ):
```
4
Lattice="0.0000 3.6863 3.6863 3.6863 0.0000 3.6863 3.6863 3.6863 0.0000" Properties=species:S:1:pos:R:3 pbc="T T T"
Tl 0.0000 0.0000 0.0000
Cd 3.6863 3.6863 3.6863
Hg 1.8432 1.8432 1.8432
As 5.5295 5.5295 5.5295
```

=====

Record 15
Computed, not measured: a geometry-optimized ZnCdHg2As structure at the GGA-PBE level of DFT.

Its space-group type is P4/mmm, No. 123. Its total energy is -1.233 eV per atom. The calculation puts the size of the total moment at 0.00 μB/f.u. The formation energy comes out at 0.255 eV per atom.

Structure (extended XYZ):
```
5
Lattice="5.5030 0.0000 0.0000 0.0000 5.5030 0.0000 0.0000 0.0000 4.8993" Properties=species:S:1:pos:R:3 pbc="T T T"
Zn 0.0000 0.0000 0.0000
Cd 2.7515 2.7515 0.0000
Hg 0.0000 2.7515 2.4497
Hg 2.7515 0.0000 2.4497
As 0.0000 0.0000 2.4497
```

=====

Record 16
Computed, not measured: a geometry-optimized HoCdAs2O8 structure at the GGA-PBE level of DFT.

Its space-group type is I-4m2, No. 119. As for the formation energy from raw total energies: -19.489 eV/f.u. Its total energy is -6.162 eV per atom. The calculation puts the size of the total moment at 1.11 μB/f.u.

Structure (extended XYZ):
```
12
Lattice="-3.5921 3.5921 3.1966 3.5921 -3.5921 3.1966 3.5921 3.5921 -3.1966" Properties=species:S:1:pos:R:3 pbc="T T T"
Ho 0.0000 0.0000 0.0000
Cd 0.0000 3.5921 1.5983
As 3.5921 0.0000 1.5983
As 0.0000 0.0000 3.1966
O 2.2558 0.0000 0.5181
O 4.9285 0.0000 0.5181
O 3.5921 2.3060 -1.1483
O 3.5921 -1.3364 2.6785
O 0.0000 1.2861 2.0483
O 3.5921 1.3364 2.6785
O 2.3060 3.5921 1.1483
O 1.2861 0.0000 4.3449
```

=====

Record 17
Computed, not measured: a geometry-optimized HoCdAs2Pd5 structure at the GGA-PBE level of DFT.

Its space-group type is P4/mmm, No. 123. Its total energy is -5.155 eV per atom. The calculation puts the size of the total moment at 0.00 μB/f.u. The formation energy comes out at -0.626 eV per atom.

Structure (extended XYZ):
```
9
Lattice="4.2437 0.0000 0.0000 0.0000 4.2437 0.0000 0.0000 0.0000 8.8016" Properties=species:S:1:pos:R:3 pbc="T T T"
Ho 0.0000 0.0000 0.0000
Cd 0.0000 0.0000 4.4008
As 2.1219 2.1219 1.2225
As 2.1219 2.1219 7.5791
Pd 0.0000 2.1219 2.4522
Pd 0.0000 2.1219 6.3494
Pd 2.1219 0.0000 2.4522
Pd 2.1219 0.0000 6.3494
Pd 2.1219 2.1219 4.4008
```

=====

Record 18
Computed, not measured: a geometry-optimized HoCdAs2Rh5 structure at the GGA-PBE level of DFT.

Its space-group type is P4/mmm, No. 123. Its total energy is -6.202 eV per atom. The calculation puts the size of the total moment at 0.00 μB/f.u. The formation energy comes out at -0.474 eV per atom.

Structure (extended XYZ):
```
9
Lattice="4.2584 0.0000 0.0000 0.0000 4.2584 0.0000 0.0000 0.0000 8.5643" Properties=species:S:1:pos:R:3 pbc="T T T"
Ho 0.0000 0.0000 0.0000
Cd 0.0000 0.0000 4.2821
As 2.1292 2.1292 3.0382
As 2.1292 2.1292 5.5261
Rh 0.0000 2.1292 2.0003
Rh 0.0000 2.1292 6.5640
Rh 2.1292 0.0000 2.0003
Rh 2.1292 0.0000 6.5640
Rh 2.1292 2.1292 0.0000
```

=====

Record 19
Computed, not measured: a geometry-optimized Cd2AsI structure at the GGA-PBE level of DFT.

Its space-group type is R3m, No. 160. As for the formation energy from raw total energies: -0.531 eV/f.u. Its total energy is -2.140 eV per atom. The calculation puts the size of the total moment at 0.00 μB/f.u.

Structure (extended XYZ):
```
4
Lattice="2.1216 1.2249 7.5320 -2.1216 1.2249 7.5320 0.0000 -2.4498 7.5320" Properties=species:S:1:pos:R:3 pbc="T T T"
Cd 0.0000 0.0000 0.0000
Cd 0.0000 0.0000 4.8093
As 0.0000 0.0000 13.5410
I 0.0000 0.0000 9.5083
```

=====

Record 20
Computed, not measured: a geometry-optimized Cd4As2I5 structure at the GGA-PBE level of DFT.

Its space-group type is Immm, No. 71. As for the formation energy from raw total energies: 0.662 eV/f.u. Its total energy is -1.823 eV per atom. The calculation puts the size of the total moment at 0.00 μB/f.u.

Structure (extended XYZ):
```
11
Lattice="-1.9283 4.4112 11.3956 1.9283 -4.4112 11.3956 1.9283 4.4112 -11.3956" Properties=species:S:1:pos:R:3 pbc="T T T"
Cd 0.0000 0.0000 1.5413
Cd 1.9283 1.9943 0.0000
Cd 0.0000 2.4169 11.3956
Cd 0.0000 0.0000 21.2500
As 0.0000 0.0000 6.1258
As 0.0000 0.0000 16.6655
I 1.9283 2.3837 -3.6439
I 1.9283 2.3837 3.6439
I 0.0000 4.4112 0.0000
I 0.0000 2.0275 7.7517
I 0.0000 2.0275 15.0396
```